Here is a crystal of KRu2Cl relaxed with PBEsol from Alexandria. Energies are from meta-GGA SCAN.

Cell lengths 3.616, 3.616, 6.585 Å; angles 90.00, 90.00, 90.00 degrees
Space group P4/mmm (No. 123)
Unique sites:
K1 0.000 0.000 0.000 x1
Ru1 0.000 0.500 0.500 x2
Cl1 0.500 0.500 0.000 x1

Calculated values
D(E_F): 3.7 states/eV per cell
Crystal system: tetragonal


Here is a crystal of KRu2Cl relaxed with PBEsol from Alexandria. Energies are from meta-GGA SCAN.

Cell lengths 11.622, 2.798, 4.683 Å; angles 90.00, 113.13, 90.00 degrees
Space group C2/m (No. 12)
Unique sites:
K1 0.000 0.000 0.000 x2
Ru1 0.213 0.000 0.670 x4
Cl1 0.000 0.500 0.500 x2

Calculated values
D(E_F): 7.7 states/eV per cell
Crystal system: monoclinic


Here is a crystal of K2RuCl6 relaxed with PBEsol from Alexandria. Energies are from meta-GGA SCAN.

Cell lengths 9.610, 9.610, 9.610 Å; angles 90.00, 90.00, 90.00 degrees
Space group Fm-3m (No. 225)
Unique sites:
K1 0.250 0.250 0.250 x8
Ru1 0.000 0.000 0.000 x4
Cl1 0.000 0.000 0.241 x24

Calculated values
D(E_F): 21.6 states/eV per cell
Crystal system: cubic


Here is a crystal of KRuCl relaxed with PBEsol from Alexandria. Energies are from meta-GGA SCAN.

Cell lengths 3.293, 3.293, 11.336 Å; angles 90.00, 90.00, 90.00 degrees
Space group I4mm (No. 107)
Unique sites:
K1 0.000 0.000 0.000 x2
Ru1 0.000 0.000 0.719 x2
Cl1 0.000 0.000 0.274 x2

Calculated values
D(E_F): 2.4 states/eV per cell
Crystal system: tetragonal


Here is a crystal of KRu2Cl relaxed with PBEsol from Alexandria. Energies are from meta-GGA SCAN.

Cell lengths 6.333, 6.333, 6.333 Å; angles 90.00, 90.00, 90.00 degrees
Space group Fm-3m (No. 225)
Unique sites:
K1 0.000 0.000 0.000 x4
Ru1 0.250 0.250 0.250 x8
Cl1 0.000 0.000 0.500 x4

Calculated values
D(E_F): 20.3 states/eV per cell
Crystal system: cubic


Here is a crystal of KRuCl4 relaxed with PBEsol from Alexandria. Energies are from meta-GGA SCAN.

Cell lengths 8.269, 8.269, 8.269 Å; angles 90.00, 90.00, 90.00 degrees
Space group F-43m (No. 216)
Unique sites:
K1 0.000 0.000 0.000 x4
Ru1 0.250 0.250 0.750 x4
Cl1 0.124 0.124 0.376 x16

Calculated values
D(E_F): 38.0 states/eV per cell
Crystal system: cubic


Here is a crystal of KRuCl relaxed with PBEsol from Alexandria. Energies are from meta-GGA SCAN.

Cell lengths 3.3072, 3.3072, 6.7098 Å; angles 90.00, 90.00, 120.00 degrees
Space group P3m1 (No. 156)
Unique sites:
K1 0.0000 0.0000 0.0000 x1
Ru1 0.3333 0.6667 0.5898 x1
Cl1 0.6667 0.3333 0.3549 x1

Calculated values
D(E_F): 2.8 states/eV per cell
Crystal system: trigonal


Here is a crystal of K2RuCl relaxed with PBEsol from Alexandria. Energies are from meta-GGA SCAN.

Cell lengths 3.266, 3.266, 10.154 Å; angles 90.00, 90.00, 90.00 degrees
Space group P4mm (No. 99)
Unique sites:
K1 0.000 0.000 0.000 x1
K2 0.500 0.500 0.453 x1
Ru1 0.000 0.000 0.691 x1
Cl1 0.500 0.500 0.172 x1

Calculated values
D(E_F): 2.9 states/eV per cell
Crystal system: tetragonal


Here is a crystal of KSrRuCl2 relaxed with PBEsol from Alexandria. Energies are from meta-GGA SCAN.

Cell lengths 5.415, 5.415, 11.675 Å; angles 90.00, 90.00, 90.00 degrees
Space group P4/mmm (No. 123)
Unique sites:
K1 0.000 0.000 0.000 x1
Sr1 0.000 0.000 0.500 x1
Ru1 0.500 0.500 0.000 x1
Cl1 0.000 0.500 0.500 x2

Calculated values
D(E_F): 7.2 states/eV per cell
Crystal system: tetragonal


Here is a crystal of K2SCl relaxed with PBEsol from Alexandria. Energies are from meta-GGA SCAN.

Cell lengths 7.529, 7.529, 7.529 Å; angles 90.00, 90.00, 90.00 degrees
Space group Fm-3m (No. 225)
Unique sites:
K1 0.250 0.250 0.250 x8
S1 0.000 0.000 0.000 x4
Cl1 0.000 0.000 0.500 x4

Calculated values
D(E_F): 24.6 states/eV per cell
Crystal system: cubic


Here is a crystal of KS2Cl2 relaxed with PBEsol from Alexandria. Energies are from meta-GGA SCAN.

Cell lengths 3.316, 3.316, 21.138 Å; angles 90.00, 90.00, 90.00 degrees
Space group I4/mmm (No. 139)
Unique sites:
K1 0.000 0.000 0.000 x2
S1 0.000 0.500 0.250 x4
Cl1 0.000 0.000 0.406 x4

Calculated values
D(E_F): 5.8 states/eV per cell
Crystal system: tetragonal


Here is a crystal of KScS2Cl relaxed with PBEsol from Alexandria. Energies are from meta-GGA SCAN.

Cell lengths 4.885, 4.885, 5.163 Å; angles 90.00, 90.00, 90.00 degrees
Space group P4/mmm (No. 123)
Unique sites:
K1 0.000 0.000 0.000 x1
Sc1 0.500 0.500 0.500 x1
S1 0.000 0.500 0.500 x2
Cl1 0.500 0.500 0.000 x1

Calculated values
D(E_F): 2.3 states/eV per cell
Crystal system: tetragonal


no.,V (Å³/cell),VASP energy (eV/atom)
1,86.10,-20.7733
2,140.04,-20.8826
3,887.55,-12.4317
4,122.91,-16.7136
5,254.02,-19.6572
6,565.48,-12.1503
7,63.55,-16.6986
8,108.30,-14.7658
9,342.39,-16.5670
10,426.86,-9.8353
11,232.49,-9.1242
12,123.22,-11.6304